[1]
Computed, not measured: a relaxed YBeGa2Rh2 crystal at the PBE-GGA level of DFT.

Computed properties:
- calculated formation energy (eV per atom) = -0.640
- D(E_F) (states/eV/cell) = 3.31

a = 4.2260 Å, b = 4.2260 Å, c = 5.5573 Å
α = 90.00°, β = 90.00°, γ = 90.00°
Space group P4/mmm (No. 123)
Unique sites:
Y 0.0000 0.0000 0.0000 [1 per cell]
Be 0.0000 0.0000 0.5000 [1 per cell]
Ga 0.5000 0.5000 0.2282 [2 per cell]
Rh 0.0000 0.5000 0.5000 [2 per cell]



[2]
Computed, not measured: a relaxed BeZnGaRh crystal at the PBE-GGA level of DFT.

Computed properties:
- calculated formation energy (eV per atom) = -0.205
- D(E_F) (states/eV/cell) = 5.88

a = 5.9098 Å, b = 5.9098 Å, c = 5.9098 Å
α = 90.00°, β = 90.00°, γ = 90.00°
Space group F-43m (No. 216)
Unique sites:
Be 0.0000 0.0000 0.0000 [4 per cell]
Zn 0.2500 0.2500 0.7500 [4 per cell]
Ga 0.0000 0.0000 0.5000 [4 per cell]
Rh 0.2500 0.2500 0.2500 [4 per cell]



[3]
Computed, not measured: a relaxed Be2Zn2GaRh5 crystal at the PBE-GGA level of DFT.

Computed properties:
- calculated formation energy (eV per atom) = -0.438
- D(E_F) (states/eV/cell) = 10.76

a = 9.3418 Å, b = 9.3418 Å, c = 3.0042 Å
α = 90.00°, β = 90.00°, γ = 90.00°
Space group P4/mbm (No. 127)
Unique sites:
Be 0.1267 0.3733 0.0000 [4 per cell]
Zn 0.1721 0.6721 0.0000 [4 per cell]
Ga 0.0000 0.0000 0.0000 [2 per cell]
Rh 0.0000 0.5000 0.5000 [2 per cell]
Rh 0.0777 0.2037 0.5000 [8 per cell]